(1)
! Be2ZnTe | Alexandria via LeMat-Bulk | meta-GGA SCAN | PBEsol geometry; values from VASP
&SYSTEM
  ibrav = 0, nat = 4, ntyp = 3
/
ATOMIC_SPECIES
Be 9.01 Be.upf
Te 127.60 Te.upf
Zn 65.41 Zn.upf
CELL_PARAMETERS angstrom
-0.6779 -1.5924 -3.4698
2.9216 -0.5317 -2.4934
1.6290 -5.6108 0.0901
ATOMIC_POSITIONS crystal
Be 0.3542 0.3542 0.9373
Be 0.6458 0.6458 0.0627
Te 0.5000 0.5000 0.5000
Zn 0.0000 0.0000 0.0000
! ΔE_f (raw) in meV per atom: 267
! Space group: R-3m
! Total moment in μB per cell: 0.000



(2)
! BeZnTe3 | Alexandria via LeMat-Bulk | meta-GGA SCAN | PBEsol geometry; values from VASP
&SYSTEM
  ibrav = 0, nat = 5, ntyp = 3
/
ATOMIC_SPECIES
Te 127.60 Te.upf
Be 9.01 Be.upf
Zn 65.41 Zn.upf
CELL_PARAMETERS angstrom
5.1713 0.0000 0.0000
0.0000 5.1713 0.0000
0.0000 0.0000 5.1713
ATOMIC_POSITIONS crystal
Te 0.0000 0.5000 0.0000
Te 0.5000 0.0000 0.0000
Te 0.0000 0.0000 0.5000
Be 0.5000 0.5000 0.5000
Zn 0.0000 0.0000 0.0000
! ΔE_f (raw) in meV per atom: 950
! Space group: Pm-3m
! Total moment in μB per cell: 0.001



(3)
! Be4ZnTe | Alexandria via LeMat-Bulk | meta-GGA SCAN | PBEsol geometry; values from VASP
&SYSTEM
  ibrav = 0, nat = 6, ntyp = 3
/
ATOMIC_SPECIES
Te 127.60 Te.upf
Be 9.01 Be.upf
Zn 65.41 Zn.upf
CELL_PARAMETERS angstrom
-3.3469 2.6154 -2.1045
-3.6142 1.7165 2.5422
-0.2795 4.6490 0.8833
ATOMIC_POSITIONS crystal
Te 0.2500 0.2500 0.2500
Be 0.1163 0.6279 0.6279
Be 0.6279 0.1163 0.6279
Be 0.6279 0.6279 0.1163
Be 0.6279 0.6279 0.6279
Zn 0.0000 0.0000 0.0000
! ΔE_f (raw) in meV per atom: 486
! Space group: F-43m
! Total moment in μB per cell: 0.000



(4)
! ZrBeTe | Alexandria via LeMat-Bulk | meta-GGA SCAN | PBEsol geometry; values from VASP
&SYSTEM
  ibrav = 0, nat = 3, ntyp = 3
/
ATOMIC_SPECIES
Be 9.01 Be.upf
Te 127.60 Te.upf
Zr 91.22 Zr.upf
CELL_PARAMETERS angstrom
4.5753 0.0000 0.0000
2.2877 3.9623 0.0000
2.2877 1.3208 3.7357
ATOMIC_POSITIONS crystal
Be 0.5000 0.5000 0.5000
Te 0.2500 0.2500 0.2500
Zr 0.0000 0.0000 0.0000
! ΔE_f (raw) in meV per atom: 512
! Space group: F-43m
! Total moment in μB per cell: 0.010



(5)
! ZrBeTe2 | Alexandria via LeMat-Bulk | meta-GGA SCAN | PBEsol geometry; values from VASP
&SYSTEM
  ibrav = 0, nat = 4, ntyp = 3
/
ATOMIC_SPECIES
Be 9.01 Be.upf
Te 127.60 Te.upf
Zr 91.22 Zr.upf
CELL_PARAMETERS angstrom
-0.6432 -4.9101 0.4999
3.7794 -3.1098 -0.9044
2.1810 -2.4256 3.7593
ATOMIC_POSITIONS crystal
Be 0.5000 0.5000 0.5000
Te 0.0000 0.0000 0.0000
Te 0.2500 0.2500 0.2500
Zr 0.7500 0.7500 0.7500
! ΔE_f (raw) in meV per atom: 465
! Space group: F-43m
! Total moment in μB per cell: 1.232



(6)
! ZrBeTe3 | Alexandria via LeMat-Bulk | meta-GGA SCAN | PBEsol geometry; values from VASP
&SYSTEM
  ibrav = 0, nat = 5, ntyp = 3
/
ATOMIC_SPECIES
Te 127.60 Te.upf
Be 9.01 Be.upf
Zr 91.22 Zr.upf
CELL_PARAMETERS angstrom
-4.8508 -2.4274 0.9976
1.5819 -4.3772 -2.9590
2.0941 -2.3164 4.5461
ATOMIC_POSITIONS crystal
Te 0.0000 0.0000 0.5000
Te 0.0000 0.5000 0.0000
Te 0.5000 0.0000 0.0000
Be 0.5000 0.5000 0.5000
Zr 0.0000 0.0000 0.0000
! ΔE_f (raw) in meV per atom: 419
! Space group: Pm-3m
! Total moment in μB per cell: 0.001



(7)
! Ti3Be | Alexandria via LeMat-Bulk | meta-GGA SCAN | PBEsol geometry; values from VASP
&SYSTEM
  ibrav = 0, nat = 8, ntyp = 2
/
ATOMIC_SPECIES
Be 9.01 Be.upf
Ti 47.87 Ti.upf
CELL_PARAMETERS angstrom
4.4344 0.0000 0.0000
0.0000 5.4812 0.0000
0.0000 -2.7406 4.7468
ATOMIC_POSITIONS crystal
Be 0.2500 0.6667 0.3333
Be 0.7500 0.3333 0.6667
Ti 0.2500 0.6517 0.8259
Ti 0.7500 0.8259 0.1741
Ti 0.2500 0.1741 0.3483
Ti 0.7500 0.3483 0.1741
Ti 0.2500 0.1741 0.8259
Ti 0.7500 0.8259 0.6517
! Offset from the most stable computed form in meV per atom: 0.0
! DFT formation energy in meV/atom: 6
! Space group: P6_3/mmc
! Total moment in μB per cell: 1.888



(8)
! TiBe12 | Alexandria via LeMat-Bulk | meta-GGA SCAN | PBEsol geometry; values from VASP
&SYSTEM
  ibrav = 0, nat = 13, ntyp = 2
/
ATOMIC_SPECIES
Be 9.01 Be.upf
Ti 47.87 Ti.upf
CELL_PARAMETERS angstrom
-3.6576 0.0832 2.0971
1.3766 -3.6072 -1.6958
3.5123 -1.5687 6.1880
ATOMIC_POSITIONS crystal
Be 0.0000 0.5000 0.2401
Be 0.5000 0.0000 0.7599
Be 0.3333 0.6667 0.5000
Be 0.3333 0.6667 0.0000
Be 0.6667 0.3333 0.0000
Be 0.6667 0.3333 0.5000
Be 0.0000 0.0000 0.3468
Be 0.0000 0.5000 0.7599
Be 0.5000 0.5000 0.7599
Be 0.5000 0.5000 0.2401
Be 0.5000 0.0000 0.2401
Be 0.0000 0.0000 0.6532
Ti 0.0000 0.0000 0.0000
! Offset from the most stable computed form in meV per atom: 76.6
! DFT formation energy in meV/atom: -57
! Space group: P6/mmm
! Total moment in μB per cell: 1.017



(9)
! TiBe2 | Alexandria via LeMat-Bulk | meta-GGA SCAN | PBEsol geometry; values from VASP
&SYSTEM
  ibrav = 0, nat = 6, ntyp = 2
/
ATOMIC_SPECIES
Ti 47.87 Ti.upf
Be 9.01 Be.upf
CELL_PARAMETERS angstrom
4.5113 0.0000 0.0000
2.2557 3.9069 0.0000
2.2557 1.3023 3.6835
ATOMIC_POSITIONS crystal
Ti 0.7500 0.7500 0.7500
Ti 0.5000 0.5000 0.5000
Be 0.1250 0.6250 0.1250
Be 0.1250 0.1250 0.1250
Be 0.6250 0.1250 0.1250
Be 0.1250 0.1250 0.6250
! DFT formation energy in meV/atom: -233
! Space group: Fd-3m
! Total moment in μB per cell: 2.494



(10)
! TiBe12 | Alexandria via LeMat-Bulk | meta-GGA SCAN | PBEsol geometry; values from VASP
&SYSTEM
  ibrav = 0, nat = 13, ntyp = 2
/
ATOMIC_SPECIES
Be 9.01 Be.upf
Ti 47.87 Ti.upf
CELL_PARAMETERS angstrom
4.1226 0.0000 0.0000
2.0613 5.1670 0.0000
2.0613 0.0000 5.1670
ATOMIC_POSITIONS crystal
Be 0.0000 0.5000 0.0000
Be 0.5000 0.7828 0.2172
Be 0.5000 0.0000 0.5000
Be 0.3513 0.6487 0.6487
Be 0.7172 0.7828 0.7828
Be 0.5000 0.2172 0.7828
Be 0.2828 0.2172 0.2172
Be 0.5000 0.5000 0.0000
Be 0.0000 0.3513 0.6487
Be 0.0000 0.0000 0.5000
Be 0.6487 0.3513 0.3513
Be 0.0000 0.6487 0.3513
Ti 0.0000 0.0000 0.0000
! Offset from the most stable computed form in meV per atom: 0.0
! DFT formation energy in meV/atom: -133
! Space group: I4/mmm
! Total moment in μB per cell: 0.161



(11)
! Ti3Be | Alexandria via LeMat-Bulk | meta-GGA SCAN | PBEsol geometry; values from VASP
&SYSTEM
  ibrav = 0, nat = 4, ntyp = 2
/
ATOMIC_SPECIES
Be 9.01 Be.upf
Ti 47.87 Ti.upf
CELL_PARAMETERS angstrom
-3.1323 0.0395 2.1572
2.0725 -1.0017 3.0277
1.1586 4.3283 -1.7500
ATOMIC_POSITIONS crystal
Be 0.0000 0.0000 0.0000
Ti 0.2500 0.7500 0.5000
Ti 0.5000 0.5000 0.0000
Ti 0.7500 0.2500 0.5000
! Offset from the most stable computed form in meV per atom: 5.9
! DFT formation energy in meV/atom: 12
! Space group: I4/mmm
! Total moment in μB per cell: 0.061



(12)
! TiBeTl2 | Alexandria via LeMat-Bulk | meta-GGA SCAN | PBEsol geometry; values from VASP
&SYSTEM
  ibrav = 0, nat = 4, ntyp = 3
/
ATOMIC_SPECIES
Tl 204.38 Tl.upf
Ti 47.87 Ti.upf
Be 9.01 Be.upf
CELL_PARAMETERS angstrom
4.7523 0.0000 0.0000
2.3762 4.1156 0.0000
2.3762 1.3719 3.8803
ATOMIC_POSITIONS crystal
Tl 0.2500 0.2500 0.2500
Tl 0.7500 0.7500 0.7500
Ti 0.5000 0.5000 0.5000
Be 0.0000 0.0000 0.0000
! DFT formation energy in meV/atom: 506
! Space group: Fm-3m
! Total moment in μB per cell: 1.497